First-principles (PBE) data for a geometry-optimized RbP3I structure, as listed in Alexandria via LeMat-Bulk.

## Properties
Spin magnetization ... 0.32 μB per atom
Energy above the most stable polymorph in this dataset ... 0 meV per atom
Space group ... Pm-3m

Unit cell a=5.341 b=5.341 c=5.341 alpha=90.00 beta=90.00 gamma=90.00
Site moments in Bohr magnetons follow the coordinates.
Fractional coordinates of all 5 atoms:
I 0.000 0.000 0.000  0.00
P 0.000 0.500 0.000  0.21
P 0.000 0.000 0.500  0.31
P 0.500 0.000 0.000  0.17
Rb 0.500 0.500 0.500  0.01